14
Lattice="8.448 0.000 0.000 4.224 7.316 0.000 4.224 2.439 6.885" Properties=species:S:1:pos:R:3 comment="CaDy4ErSe8 (PBE-GGA, relaxed)" e_form_raw_kj_per_mol_atoms=-173 dos_ef_per_ev_cell=3.7 sg="R3m, No. 160" pbc="T T T"
Se 8.448 2.273 1.760
Se 4.224 2.439 1.925
Se 10.703 6.179 1.760
Se 10.733 3.557 5.109
Se 12.671 7.316 5.007
Se 6.192 6.179 1.760
Se 6.162 3.557 5.109
Se 8.448 7.517 5.109
Dy 8.448 4.877 0.867
Dy 6.301 1.239 3.457
Dy 4.224 4.837 3.457
Dy 2.147 1.239 3.457
Er 4.224 2.439 6.838
Ca 8.448 4.877 6.023